[1]
The following is a GGA+U calculation of an optimized crystal structure of SrCrAg2F6, from Alexandria via LeMat-Bulk.

Geometry as CIF:
```
data_SrCrAg2F6
_cell_length_a 5.932
_cell_length_b 6.027
_cell_length_c 10.513
_cell_angle_alpha 90.00
_cell_angle_beta 121.11
_cell_angle_gamma 90.00
_symmetry_space_group_name_H-M 'P 1 21/c 1'
_symmetry_Int_Tables_number 14
loop_
_symmetry_equiv_pos_as_xyz
'x,y,z'
'-x,-y,-z'
'-x,y+1/2,-z+1/2'
'x,-y+1/2,z+1/2'
loop_
_atom_site_label
_atom_site_type_symbol
_atom_site_fract_x
_atom_site_fract_y
_atom_site_fract_z
Sr1 Sr 0.000 0.000 0.000
Cr1 Cr 0.500 0.000 0.500
Ag1 Ag 0.274 0.048 0.756
F1 F 0.121 0.078 0.254
F2 F 0.299 0.686 0.072
F3 F 0.393 0.223 0.069
```

[2]
The following is a GGA+U calculation of an optimized crystal structure of SrCrAg2F8, from Alexandria via LeMat-Bulk.

Summary:
Fermi-level density of states (states/eV/atom): 0.10

Geometry as CIF:
```
data_SrCrAg2F8
_cell_length_a 4.961
_cell_length_b 7.068
_cell_length_c 5.428
_cell_angle_alpha 90.00
_cell_angle_beta 93.98
_cell_angle_gamma 90.00
_symmetry_space_group_name_H-M 'P 1 2/m 1'
_symmetry_Int_Tables_number 10
loop_
_symmetry_equiv_pos_as_xyz
'x,y,z'
'-x,-y,-z'
'-x,y,-z'
'x,-y,z'
loop_
_atom_site_label
_atom_site_type_symbol
_atom_site_fract_x
_atom_site_fract_y
_atom_site_fract_z
Sr1 Sr 0.000 0.000 0.000
Cr1 Cr 0.000 0.500 0.000
Ag1 Ag 0.500 0.262 0.500
F1 F 0.142 0.295 0.805
F2 F 0.321 0.500 0.241
F3 F 0.403 0.000 0.273
```

Let's list total energy in order: -49.16, -57.82 eV/f.u..